Entry 1:
Compound: Ba4MgNi
Source: the Alexandria database
Functional: PBE
Structure: relaxed

Output
As for the final energy: -1.733 eV/atom. The crystal system is cubic. As for the formation energy from the elements: 0.778 eV per atom.

Cell lengths 10.2276, 10.2276, 10.2276 Å; angles 90.00, 90.00, 90.00 degrees
With the nearest neighbours (Å) after each atom.
Space group F-43m (No. 216)
Unique sites:
Ba  0.1243  0.1243  0.3757 [16 per cell]  6 Ba 3.59-3.64
Mg  0.0000  0.0000  0.0000 [4 per cell]  12 Ba 4.24, 4 Ni 4.43
Ni  0.2500  0.2500  0.7500 [4 per cell]  12 Ba 4.24, 4 Mg 4.43

=====

Entry 2:
Compound: LiScP2
Source: the Alexandria database
Functional: PBE
Structure: relaxed

Output
As for the final energy: -5.007 eV/atom. The crystal system is cubic. As for the energy above the lowest structure with this stoichiometry: 0.581 eV/atom. As for the formation energy from the elements: -0.241 eV per atom.

Cell lengths 6.2981, 6.2981, 6.2981 Å; angles 90.00, 90.00, 90.00 degrees
With the nearest neighbours (Å) after each atom.
Space group F-43m (No. 216)
Unique sites:
Li  0.0000  0.0000  0.0000 [4 per cell]  4 Sc 2.73, 4 P 2.73
Sc  0.2500  0.2500  0.7500 [4 per cell]  4 Li 2.73, 4 P 2.73
P  0.0000  0.0000  0.5000 [4 per cell]  4 Sc 2.73, 4 P 2.73
P  0.2500  0.2500  0.2500 [4 per cell]  4 Li 2.73, 4 P 2.73

=====

Entry 3:
Compound: ZrSc2B2Rh5
Source: the Alexandria database
Functional: PBE
Structure: relaxed

Output
As for the final energy: -7.980 eV/atom. The crystal system is tetragonal. As for the formation energy from the elements: -0.847 eV per atom.

Cell lengths 9.4595, 9.4595, 3.2072 Å; angles 90.00, 90.00, 90.00 degrees
With the nearest neighbours (Å) after each atom.
Space group P4/mbm (No. 127)
Unique sites:
Zr  0.0000  0.0000  0.0000 [2 per cell]  8 Rh 2.74
Sc  0.1734  0.3266  0.0000 [4 per cell]  3 B 2.75-2.83, 10 Rh 2.82-2.99
B  0.1213  0.6213  0.0000 [4 per cell]  6 Rh 2.23-2.28
Rh  0.0000  0.5000  0.5000 [2 per cell]  4 B 2.28
Rh  0.0722  0.7769  0.5000 [8 per cell]  2 B 2.23